ReNi: optimized geometry, PBE.

Cell: 2.5990 4.5158 4.6224 Å, 97.71 90.32 103.94°
Closest atoms and distances in Å follow each position.
Element x y z (fractional)
Re1 0.0853 0.2423 0.3636  7 Ni 2.57-2.72, 4 Re 2.60-2.63
Re2 0.9147 0.7577 0.6364  7 Ni 2.57-2.72, 4 Re 2.60-2.63
Ni1 0.4023 0.7537 0.1202  5 Ni 2.56-2.80, 7 Re 2.57-2.72
Ni2 0.5977 0.2463 0.8798  5 Ni 2.56-2.80, 7 Re 2.57-2.72

Output
- energy of formation from the pure elements (meV/atom) = 18.6
- space-group type = No. 2
- uncorrected energy (eV per atom) = -9.096

TbSm2Er12: optimized geometry, PBE.

Cell: 6.6014 6.6014 23.9615 Å, 92.24 92.24 114.98°
Closest atoms and distances in Å follow each position.
Element x y z (fractional)
Tb1 0.2498 0.2498 0.0000  2 Tb 3.55, 12 Er 3.65-3.71
Tb2 0.7502 0.7502 0.0000  2 Tb 3.55, 12 Er 3.65-3.71
Sm1 0.0695 0.0695 0.2794  5 Er 3.47-3.51, 2 Sm 3.54-3.56
Sm2 0.4290 0.4290 0.7188  5 Er 3.47-3.50, 2 Sm 3.54-3.56
Sm3 0.5710 0.5710 0.2812  5 Er 3.47-3.50, 2 Sm 3.54-3.56
Sm4 0.9305 0.9305 0.7206  5 Er 3.47-3.51, 2 Sm 3.54-3.56
Er1 0.0335 0.0335 0.1342  8 Er 3.24-3.58, 1 Sm 3.47
Er2 0.0480 0.5481 0.1919  9 Er 3.30-3.58
Er3 0.0832 0.5824 0.3299  7 Er 3.27-3.63, 4 Sm 3.50-3.51
Er4 0.1405 0.6367 0.5552  10 Er 3.18-3.55
Er5 0.1413 0.1413 0.5735  8 Er 3.32-3.62
Er6 0.2344 0.7310 0.9335  7 Er 3.18-3.55
Er7 0.2690 0.7656 0.0665  7 Er 3.18-3.55
Er8 0.3553 0.3553 0.4279  8 Er 3.31-3.63
Er9 0.3633 0.8595 0.4448  10 Er 3.18-3.55
Er10 0.4176 0.9168 0.6701  7 Er 3.27-3.63, 4 Sm 3.50-3.51
Er11 0.4519 0.9520 0.8081  9 Er 3.30-3.58
Er12 0.4657 0.4657 0.8638  8 Er 3.23-3.56, 1 Sm 3.47
Er13 0.5343 0.5343 0.1362  8 Er 3.23-3.56, 1 Sm 3.47
Er14 0.5481 0.0480 0.1919  9 Er 3.30-3.58
Er15 0.5824 0.0832 0.3299  7 Er 3.27-3.63, 4 Sm 3.50-3.51
Er16 0.6367 0.1405 0.5552  10 Er 3.18-3.55
Er17 0.6447 0.6447 0.5721  8 Er 3.31-3.63
Er18 0.7310 0.2344 0.9335  7 Er 3.18-3.55
Er19 0.7656 0.2690 0.0665  7 Er 3.18-3.55
Er20 0.8587 0.8587 0.4265  8 Er 3.32-3.62
Er21 0.8595 0.3633 0.4448  10 Er 3.18-3.55
Er22 0.9168 0.4176 0.6701  7 Er 3.27-3.63, 4 Sm 3.50-3.51
Er23 0.9520 0.4519 0.8081  9 Er 3.30-3.58
Er24 0.9665 0.9665 0.8658  8 Er 3.24-3.58, 1 Sm 3.47

Output
- energy of formation from the pure elements (meV/atom) = 108.2
- space-group type = No. 12
- uncorrected energy (eV per atom) = -4.480

MoPIr2: optimized geometry, PBE.

Cell: 3.8304 3.8304 3.9491 Å, 90.00 90.00 90.00°
Closest atoms and distances in Å follow each position.
Element x y z (fractional)
Mo1 0.0000 0.0000 0.0000  4 P 2.71, 8 Ir 2.75
P1 0.5000 0.5000 0.0000  4 Mo 2.71, 8 Ir 2.75
Ir1 0.0000 0.5000 0.5000  4 Ir 2.71, 4 P 2.75, 4 Mo 2.75
Ir2 0.5000 0.0000 0.5000  4 Ir 2.71, 4 P 2.75, 4 Mo 2.75

Output
- energy of formation from the pure elements (meV/atom) = 171.6
- space-group type = No. 123
- uncorrected energy (eV per atom) = -8.319

The lowest energy of formation from the pure elements belongs to which entry?
ReNi

The lowest uncorrected energy belongs to which entry?
ReNi

energy of formation from the pure elements of number 2 (TbSm2Er12)?
108.2 meV/atom